# 1
Dy2NpFeO8 | PBE with a Hubbard U | optimized geometry

- energy (eV/atom) = -8.32

Lattice parameters (Å, degrees): 4.971 4.971 6.820 90.00 90.00 93.06
Element x y z (fractional)
Dy: 0.000 0.000 0.237
Dy: 0.000 0.000 0.763
Np: 0.500 0.500 0.500
Fe: 0.500 0.500 0.000
O: 0.208 0.208 0.500
O: 0.219 0.219 0.000
O: 0.320 0.680 0.268
O: 0.320 0.680 0.732
O: 0.680 0.320 0.268
O: 0.680 0.320 0.732
O: 0.781 0.781 0.000
O: 0.792 0.792 0.500


# 2
DyNpFeO6 | PBE with a Hubbard U | optimized geometry

- energy (eV/atom) = -8.35

Lattice parameters (Å, degrees): 5.581 5.581 8.767 90.00 90.00 120.00
Element x y z (fractional)
Dy: 0.333 0.667 0.250
Dy: 0.667 0.333 0.750
Np: 0.333 0.667 0.750
Np: 0.667 0.333 0.250
Fe: 0.000 0.000 0.000
Fe: 0.000 0.000 0.500
O: 0.028 0.338 0.625
O: 0.028 0.690 0.875
O: 0.310 0.338 0.875
O: 0.310 0.972 0.625
O: 0.338 0.028 0.125
O: 0.338 0.310 0.375
O: 0.662 0.690 0.625
O: 0.662 0.972 0.875
O: 0.690 0.028 0.375
O: 0.690 0.662 0.125
O: 0.972 0.310 0.125
O: 0.972 0.662 0.375


# 3
DyNpFe2O6 | PBE with a Hubbard U | optimized geometry

- energy (eV/atom) = -8.30

Lattice parameters (Å, degrees): 5.519 5.553 5.857 90.18 117.19 119.64
Element x y z (fractional)
Dy: 0.000 0.000 0.000
Np: 0.989 0.492 0.478
Fe: 0.574 0.281 0.857
Fe: 0.595 0.809 0.380
O: 0.099 0.203 0.682
O: 0.109 0.415 0.202
O: 0.485 0.889 0.672
O: 0.508 0.103 0.176
O: 0.788 0.698 0.206
O: 0.803 0.576 0.697


# 4
Dy2FeO5 | PBE with a Hubbard U | optimized geometry

- energy (eV/atom) = -7.61

Lattice parameters (Å, degrees): 10.404 3.708 11.281 90.00 90.00 90.00
Element x y z (fractional)
Dy: 0.101 0.250 0.221
Dy: 0.136 0.250 0.558
Dy: 0.364 0.750 0.058
Dy: 0.399 0.750 0.721
Dy: 0.601 0.250 0.279
Dy: 0.636 0.250 0.942
Dy: 0.864 0.750 0.442
Dy: 0.899 0.750 0.779
Fe: 0.186 0.250 0.878
Fe: 0.314 0.750 0.378
Fe: 0.686 0.250 0.622
Fe: 0.814 0.750 0.122
O: 0.012 0.750 0.602
O: 0.015 0.250 0.833
O: 0.218 0.250 0.041
O: 0.238 0.750 0.226
O: 0.248 0.750 0.881
O: 0.252 0.250 0.381
O: 0.262 0.250 0.726
O: 0.282 0.750 0.541
O: 0.485 0.750 0.333
O: 0.488 0.250 0.102
O: 0.512 0.750 0.898
O: 0.515 0.250 0.667
O: 0.718 0.250 0.459
O: 0.738 0.750 0.274
O: 0.748 0.750 0.619
O: 0.752 0.250 0.119
O: 0.762 0.250 0.774
O: 0.782 0.750 0.959
O: 0.985 0.750 0.167
O: 0.988 0.250 0.398


# 5
Dy2FeO | PBE with a Hubbard U | optimized geometry

- energy (eV/atom) = -5.76

Lattice parameters (Å, degrees): 8.911 8.911 8.911 21.68 21.68 21.68
Element x y z (fractional)
Dy: 0.113 0.113 0.113
Dy: 0.887 0.887 0.887
Fe: 0.000 0.000 0.000
O: 0.500 0.500 0.500


# 6
Dy3FeO6 | PBE with a Hubbard U | optimized geometry

- energy (eV/atom) = -7.98

Lattice parameters (Å, degrees): 7.139 7.139 5.477 90.00 90.00 102.84
Element x y z (fractional)
Dy: 0.102 0.898 0.500
Dy: 0.201 0.412 0.547
Dy: 0.412 0.201 0.047
Dy: 0.588 0.799 0.547
Dy: 0.799 0.588 0.047
Dy: 0.898 0.102 0.000
Fe: 0.308 0.692 0.076
Fe: 0.692 0.308 0.576
O: 0.077 0.605 0.258
O: 0.144 0.177 0.274
O: 0.177 0.144 0.774
O: 0.284 0.716 0.732
O: 0.395 0.923 0.258
O: 0.462 0.538 0.232
O: 0.538 0.462 0.732
O: 0.605 0.077 0.758
O: 0.716 0.284 0.232
O: 0.823 0.856 0.274
O: 0.856 0.823 0.774
O: 0.923 0.395 0.758


# 7
Rb7DyFe6P8O34 | PBE with a Hubbard U | optimized geometry

- energy (eV/atom) = -6.62

Lattice parameters (Å, degrees): 9.241 10.049 10.081 92.02 94.78 116.11
Element x y z (fractional)
Rb: 0.000 0.000 0.000
Rb: 0.131 0.974 0.374
Rb: 0.184 0.444 0.918
Rb: 0.422 0.790 0.651
Rb: 0.578 0.210 0.349
Rb: 0.816 0.556 0.082
Rb: 0.869 0.026 0.626
Dy: 0.000 0.500 0.500
Fe: 0.335 0.417 0.285
Fe: 0.338 0.101 0.757
Fe: 0.347 0.896 0.029
Fe: 0.653 0.104 0.971
Fe: 0.662 0.899 0.243
Fe: 0.665 0.583 0.715
P: 0.060 0.763 0.773
P: 0.294 0.720 0.292
P: 0.299 0.340 0.574
P: 0.410 0.221 0.045
P: 0.590 0.779 0.955
P: 0.701 0.660 0.426
P: 0.706 0.280 0.708
P: 0.940 0.237 0.227
O: 0.081 0.635 0.701
O: 0.119 0.262 0.234
O: 0.124 0.789 0.923
O: 0.152 0.909 0.700
O: 0.180 0.408 0.550
O: 0.193 0.699 0.411
O: 0.214 0.184 0.629
O: 0.233 0.792 0.182
O: 0.273 0.567 0.233
O: 0.316 0.070 0.105
O: 0.316 0.217 0.906
O: 0.356 0.314 0.437
O: 0.409 0.741 0.967
O: 0.412 0.349 0.134
O: 0.437 0.007 0.878
O: 0.442 0.441 0.677
O: 0.475 0.826 0.347
O: 0.525 0.174 0.653
O: 0.558 0.559 0.323
O: 0.563 0.993 0.122
O: 0.588 0.651 0.866
O: 0.591 0.259 0.033
O: 0.644 0.686 0.563
O: 0.684 0.783 0.094
O: 0.684 0.930 0.895
O: 0.727 0.433 0.767
O: 0.767 0.208 0.818
O: 0.786 0.816 0.371
O: 0.807 0.301 0.589
O: 0.820 0.592 0.450
O: 0.848 0.091 0.300
O: 0.876 0.211 0.077
O: 0.881 0.738 0.766
O: 0.919 0.365 0.299


# 8
SrPrDyFeO6 | PBE with a Hubbard U | optimized geometry

- energy (eV/atom) = -7.14

Lattice parameters (Å, degrees): 5.792 5.792 5.792 60.00 60.00 60.00
Element x y z (fractional)
Sr: 0.000 0.000 0.000
Pr: 0.500 0.500 0.500
Dy: 0.750 0.750 0.750
Fe: 0.250 0.250 0.250
O: 0.014 0.014 0.486
O: 0.014 0.486 0.014
O: 0.014 0.486 0.486
O: 0.486 0.014 0.014
O: 0.486 0.014 0.486
O: 0.486 0.486 0.014